[1]
Material: YGaRh
Method: DFT, GGA-PBEsol
State: relaxed

Lattice parameters (Å, degrees): 4.260 6.720 7.666 90.00 90.00 90.00
Element x y z (fractional)
Ga (0.750, 0.345, 0.432)
Ga (0.250, 0.655, 0.568)
Ga (0.250, 0.155, 0.932)
Ga (0.750, 0.845, 0.068)
Rh (0.250, 0.271, 0.612)
Rh (0.750, 0.229, 0.112)
Rh (0.750, 0.729, 0.388)
Rh (0.250, 0.771, 0.888)
Y (0.250, 0.527, 0.188)
Y (0.750, 0.973, 0.688)
Y (0.750, 0.473, 0.812)
Y (0.250, 0.027, 0.312)

**Formation energy**: -900 meV per atom
**Crystal system**: orthorhombic

[2]
Material: Be2PtSe
Method: DFT, GGA-PBEsol
State: relaxed

Lattice parameters (Å, degrees): 2.743 3.471 6.556 105.35 102.07 90.00
Element x y z (fractional)
Be (0.992, 0.992, 0.983)
Be (0.189, 0.689, 0.378)
Se (0.782, 0.282, 0.564)
Pt (0.537, 0.537, 0.074)

**Energy relative to the elements, uncorrected**: -182 meV/atom
**Crystal system**: orthorhombic

[3]
Material: CoWN2
Method: DFT, GGA-PBEsol
State: relaxed

Lattice parameters (Å, degrees): 2.908 2.908 6.253 76.55 76.55 60.00
Element x y z (fractional)
N (0.900, 0.900, 0.301)
N (0.100, 0.100, 0.699)
Co (0.000, 0.000, 0.000)
W (0.500, 0.500, 0.500)

**Energy relative to the elements, uncorrected**: -27 meV/atom
**Crystal system**: trigonal

[4]
Material: Li3Fe4NiO8
Method: DFT, GGA-PBEsol
State: relaxed

Lattice parameters (Å, degrees): 5.740 5.673 8.070 134.67 90.00 120.39
Element x y z (fractional)
O (0.020, 0.040, 0.260)
O (0.997, 0.478, 0.248)
O (0.980, 0.960, 0.740)
O (0.003, 0.522, 0.752)
O (0.482, 0.478, 0.248)
O (0.482, 0.963, 0.733)
O (0.518, 0.037, 0.267)
O (0.518, 0.522, 0.752)
Fe (0.500, 0.500, 0.500)
Fe (0.000, 0.500, 0.500)
Fe (0.000, 0.000, 0.000)
Fe (0.500, 0.000, 0.500)
Li (0.500, 0.500, 0.000)
Li (0.000, 0.500, 0.000)
Li (0.000, 0.000, 0.500)
Ni (0.500, 0.000, 0.000)

**Energy relative to the elements, uncorrected**: -1371 meV/atom
**Crystal system**: trigonal

[5]
Material: ReAs2SeCl
Method: DFT, GGA-PBEsol
State: relaxed

Lattice parameters (Å, degrees): 4.627 4.627 4.559 90.00 90.00 90.00
Element x y z (fractional)
As (0.000, 0.500, 0.000)
As (0.500, 0.000, 0.000)
Re (0.500, 0.500, 0.500)
Se (0.000, 0.000, 0.500)
Cl (0.000, 0.000, 0.000)

**Energy relative to the elements, uncorrected**: 1773 meV/atom
**Crystal system**: tetragonal

[6]
Material: Ca7Ni4Sn13
Method: DFT, GGA-PBEsol
State: relaxed

Lattice parameters (Å, degrees): 4.552 11.110 11.110 90.00 90.00 90.00
Element x y z (fractional)
Ni (0.500, 0.380, 0.775)
Ni (0.500, 0.775, 0.620)
Ni (0.500, 0.620, 0.225)
Ni (0.500, 0.225, 0.380)
Sn (0.500, 0.285, 0.981)
Sn (0.500, 0.715, 0.019)
Sn (0.500, 0.981, 0.715)
Sn (0.000, 0.310, 0.423)
Sn (0.500, 0.216, 0.610)
Sn (0.000, 0.423, 0.690)
Sn (0.500, 0.784, 0.390)
Sn (0.500, 0.000, 0.000)
Sn (0.500, 0.019, 0.285)
Sn (0.000, 0.577, 0.310)
Sn (0.500, 0.610, 0.784)
Sn (0.000, 0.690, 0.577)
Sn (0.500, 0.390, 0.216)
Ca (0.000, 0.839, 0.171)
Ca (0.000, 0.500, 0.000)
Ca (0.500, 0.500, 0.500)
Ca (0.000, 0.829, 0.839)
Ca (0.000, 0.161, 0.829)
Ca (0.000, 0.171, 0.161)
Ca (0.000, 0.000, 0.500)

**Formation energy**: -545 meV per atom
**Crystal system**: tetragonal

[7]
Material: Y2H2Ru
Method: DFT, GGA-PBEsol
State: relaxed

Lattice parameters (Å, degrees): 3.394 3.394 6.666 104.75 104.75 90.00
Element x y z (fractional)
Y (0.365, 0.365, 0.730)
Y (0.635, 0.635, 0.270)
H (0.750, 0.250, 0.500)
H (0.250, 0.750, 0.500)
Ru (0.000, 0.000, 0.000)

**Crystal system**: tetragonal

[8]
Material: HfTl3H
Method: DFT, GGA-PBEsol
State: relaxed

Lattice parameters (Å, degrees): 4.601 4.601 4.601 90.00 90.00 90.00
Element x y z (fractional)
H (0.000, 0.000, 0.000)
Tl (0.000, 0.500, 0.000)
Tl (0.500, 0.000, 0.000)
Tl (0.000, 0.000, 0.500)
Hf (0.500, 0.500, 0.500)

**Crystal system**: cubic

[9]
Material: TcRuC2
Method: DFT, GGA-PBEsol
State: relaxed

Lattice parameters (Å, degrees): 3.727 3.727 3.727 60.00 60.00 60.00
Element x y z (fractional)
C (0.250, 0.250, 0.250)
C (0.750, 0.750, 0.750)
Tc (0.000, 0.000, 0.000)
Ru (0.500, 0.500, 0.500)

**Formation energy**: 902 meV per atom
**Crystal system**: cubic

[10]
Material: Ba2LiPt
Method: DFT, GGA-PBEsol
State: relaxed

Lattice parameters (Å, degrees): 4.442 4.447 9.818 103.12 90.00 119.96
Element x y z (fractional)
Li (0.000, 0.000, 0.500)
Ba (0.773, 0.546, 0.819)
Ba (0.227, 0.454, 0.181)
Pt (0.500, 0.000, 0.000)

**Formation energy**: -301 meV per atom
**Crystal system**: trigonal

[11]
Material: Mn4ReMo
Method: DFT, GGA-PBEsol
State: relaxed

Lattice parameters (Å, degrees): 4.638 4.638 4.638 60.00 60.00 60.00
Element x y z (fractional)
Mn (0.375, 0.375, 0.375)
Mn (0.375, 0.375, 0.874)
Mn (0.874, 0.375, 0.375)
Mn (0.375, 0.874, 0.375)
Re (0.000, 0.000, 0.000)
Mo (0.750, 0.750, 0.750)

**Formation energy**: -89 meV per atom
**Crystal system**: cubic

[12]
Material: LiAlAg
Method: DFT, GGA-PBEsol
State: relaxed

Lattice parameters (Å, degrees): 2.983 3.609 4.840 111.89 107.95 90.00
Element x y z (fractional)
Ag (0.998, 0.998, 0.995)
Li (0.336, 0.336, 0.672)
Al (0.666, 0.666, 0.333)

**Offset from the most stable computed form**: 1.0 meV/atom
**Formation energy**: -200 meV per atom
**Crystal system**: orthorhombic

no.,N(E_F) (states/eV/cell),E (eV/atom),total magnetization (μB/f.u.)
1,7.6,-7.0001,0.00
2,0.5,-4.8855,0.00
3,5.1,-9.6765,1.62
4,11.9,-6.9903,5.00
5,3.9,-4.1077,1.07
6,11.6,-4.5007,0.00
7,1.5,-6.5886,0.00
8,2.3,-3.9646,0.00
9,2.0,-9.2796,0.00
10,2.5,-3.6079,0.00
11,4.0,-10.7802,0.00
12,0.8,-3.3236,0.00